## one
Below is a geometry-optimized Pr6Ho2Sc structure, with properties calculated at the GGA-PBE level.

Total moment ... 0.000 μB/atom
Space-group type ... No. 15
N(E_F) ... 26.04 states/eV per cell

```
18
Lattice="-1.224 -5.035 3.498 7.392 1.683 6.695 -3.916 5.172 7.759" Properties=species:S:1:pos:R:3 pbc="T T T"
Pr -2.833 2.056 11.571
Pr 5.085 -0.235 6.380
Pr -3.781 -0.206 8.906
Pr 3.889 3.149 12.492
Pr -0.886 -0.713 11.554
Pr 2.903 0.825 9.506
Pr -1.636 -1.329 5.459
Pr 2.129 0.216 3.414
Pr 6.034 2.026 9.045
Pr 0.124 1.604 14.538
Pr -0.651 0.995 8.446
Pr 3.138 2.533 6.398
Ho 0.633 2.821 11.285
Ho 2.376 -0.424 12.812
Ho -0.124 2.244 5.140
Ho 1.619 -1.000 6.667
Sc -2.993 3.535 8.518
Sc 5.245 -1.714 9.433
```

***

## two
Below is a geometry-optimized Pr6Ho2Sc structure, with properties calculated at the GGA-PBE level.

Total moment ... 0.000 μB/atom
Space-group type ... No. 12
N(E_F) ... 13.26 states/eV per cell

```
9
Lattice="5.134 0.000 0.000 -2.567 5.444 -1.683 0.000 -0.128 10.896" Properties=species:S:1:pos:R:3 pbc="T T T"
Pr 2.567 1.788 3.714
Pr 0.000 3.505 9.183
Pr 2.567 5.297 7.319
Pr 0.000 0.020 1.894
Pr 0.000 3.528 5.499
Pr 2.567 1.811 0.030
Ho 0.000 3.650 1.951
Ho 2.567 1.667 7.262
Sc 0.000 -0.064 5.448
```

***

Which one sits at the bottom of the stability order? one does.

***

## one
Below is a geometry-optimized PrHo4Sc structure, with properties calculated at the GGA-PBE level.

Total moment ... 0.000 μB/atom
Space-group type ... No. 12
N(E_F) ... 11.81 states/eV per cell

```
6
Lattice="-2.817 -0.895 -1.725 -0.417 -5.875 0.334 -6.711 0.180 7.475" Properties=species:S:1:pos:R:3 pbc="T T T"
Ho -4.901 -0.195 4.712
Ho -6.871 -2.864 5.919
Ho -5.045 -6.394 1.372
Ho -3.075 -3.726 0.165
Pr -4.973 -3.295 3.042
Sc 0.000 0.000 0.000
```

***

## two
Below is a geometry-optimized PrHo4Sc structure, with properties calculated at the GGA-PBE level.

Total moment ... 0.000 μB/atom
Space-group type ... No. 123
N(E_F) ... 9.31 states/eV per cell

```
6
Lattice="4.954 0.462 0.000 -0.463 4.956 0.000 -0.001 -0.002 8.981" Properties=species:S:1:pos:R:3 pbc="T T T"
Ho 4.707 2.944 7.126
Ho 4.708 2.945 1.889
Ho 2.462 0.236 1.888
Ho 2.462 0.235 7.127
Pr 4.939 0.467 4.507
Sc 2.232 2.714 0.017
```

***

Which one sits at the bottom of the stability order? two does.

***

## one
Below is a geometry-optimized PrHo6Sc2 structure, with properties calculated at the GGA-PBE level.

Total moment ... 0.000 μB/atom
Space-group type ... No. 160
N(E_F) ... 12.45 states/eV per cell

```
9
Lattice="-5.732 0.894 4.259 -0.627 -3.854 6.046 0.941 3.501 6.612" Properties=species:S:1:pos:R:3 pbc="T T T"
Ho -3.262 1.407 4.840
Ho -3.982 2.106 9.498
Ho -1.026 1.647 7.300
Ho -1.347 -0.342 10.418
Ho -0.012 0.898 2.428
Ho -0.370 -1.285 5.855
Sc -4.122 0.319 12.626
Sc -3.445 -0.809 7.694
Pr -1.977 -0.777 3.583
```

***

## two
Below is a geometry-optimized PrHo6Sc2 structure, with properties calculated at the GGA-PBE level.

Total moment ... 0.000 μB/atom
Space-group type ... No. 15
N(E_F) ... 26.03 states/eV per cell

```
18
Lattice="11.599 -0.244 2.766 2.086 6.628 1.783 0.677 -1.570 6.967" Properties=species:S:1:pos:R:3 pbc="T T T"
Ho 8.938 4.171 6.431
Ho 8.783 3.254 9.467
Ho 3.174 3.832 3.244
Ho 5.948 4.359 4.831
Ho 11.188 0.982 8.273
Ho 11.618 2.816 5.017
Ho 5.579 1.560 2.050
Ho 8.414 0.455 6.685
Ho 11.084 -0.273 4.515
Ho 3.277 5.087 7.001
Ho 5.424 0.643 5.085
Ho 2.743 1.998 6.500
Sc 5.955 2.723 7.535
Sc 8.407 2.091 3.981
Sc 2.362 0.788 3.499
Sc 11.999 4.026 8.018
Pr 3.640 -1.262 7.426
Pr 10.722 6.076 4.091
```

***

Which one sits at the bottom of the stability order? one does.

***

## one
Below is a geometry-optimized Pr3Ho4Sc2 structure, with properties calculated at the GGA-PBE level.

Total moment ... 0.000 μB/atom
Space-group type ... No. 15
N(E_F) ... 30.91 states/eV per cell

```
18
Lattice="6.171 0.106 0.076 0.300 9.679 -0.886 0.300 2.279 9.448" Properties=species:S:1:pos:R:3 pbc="T T T"
Ho 5.767 1.748 0.184
Ho 3.951 3.936 1.801
Ho 4.090 11.380 7.080
Ho 2.682 0.684 1.557
Ho 2.821 8.128 6.837
Ho 0.865 2.920 3.108
Ho 1.005 10.316 8.454
Ho 5.907 9.144 5.529
Pr 2.821 5.093 8.036
Pr 1.843 6.401 3.747
Pr 5.907 9.301 2.270
Pr 4.929 5.663 4.891
Pr 3.951 6.971 0.602
Pr 0.865 2.763 6.368
Sc 4.083 2.363 4.682
Sc 0.997 5.141 0.690
Sc 2.689 9.701 3.955
Sc 5.775 6.923 7.947
```

***

## two
Below is a geometry-optimized Pr3Ho4Sc2 structure, with properties calculated at the GGA-PBE level.

Total moment ... 0.000 μB/atom
Space-group type ... No. 2
N(E_F) ... 25.23 states/eV per cell

```
18
Lattice="6.370 -1.452 1.574 -0.901 8.061 1.989 0.966 -0.994 11.503" Properties=species:S:1:pos:R:3 pbc="T T T"
Ho 1.402 0.862 11.581
Ho 2.079 3.176 4.761
Ho 5.855 0.096 7.498
Ho 3.061 6.541 5.485
Ho 4.355 2.439 10.306
Ho 3.373 -0.926 9.581
Ho 0.579 5.519 7.569
Ho 5.032 4.753 3.485
Sc 2.873 0.248 6.190
Sc 3.561 5.367 8.877
Sc 5.408 1.383 4.347
Sc 1.026 4.232 10.719
Pr 4.963 3.263 6.708
Pr 1.834 5.002 1.985
Pr 5.584 5.638 11.886
Pr 4.600 0.613 13.082
Pr 0.850 -0.023 3.181
Pr 1.471 2.352 8.358
```

***

Which one sits at the bottom of the stability order? one does.

***

## one
Below is a geometry-optimized Pr4Ho3Sc structure, with properties calculated at the GGA-PBE level.

Total moment ... 0.000 μB/atom
Space-group type ... No. 12
N(E_F) ... 9.88 states/eV per cell

```
8
Lattice="-0.104 -3.269 -1.526 -0.207 -2.628 5.647 -11.304 4.299 -4.175" Properties=species:S:1:pos:R:3 pbc="T T T"
Pr -2.832 -0.315 0.869
Pr -8.554 1.673 -3.002
Pr -3.061 -3.271 2.948
Pr -8.782 -1.283 -0.923
Ho -0.104 -1.314 2.823
Ho -5.745 0.674 -1.054
Ho -5.869 -2.273 1.000
Sc -0.052 -1.635 -0.763
```

***

## two
Below is a geometry-optimized Pr4Ho3Sc structure, with properties calculated at the GGA-PBE level.

Total moment ... 0.000 μB/atom
Space-group type ... No. 71
N(E_F) ... 11.88 states/eV per cell

```
8
Lattice="-0.574 -1.567 3.081 4.374 -9.832 -4.186 4.032 7.482 2.565" Properties=species:S:1:pos:R:3 pbc="T T T"
Pr 2.348 -2.721 1.046
Pr 4.580 -7.738 -1.090
Pr 3.252 3.821 2.550
Pr 5.484 -1.196 0.414
Ho 5.027 -4.760 0.508
Ho 2.805 0.843 0.952
Ho 2.187 -4.916 -2.093
Sc -0.287 -0.784 1.540
```

***

Which one sits at the bottom of the stability order? two does.

***

## one
Below is a geometry-optimized Pr2Ho5Sc structure, with properties calculated at the GGA-PBE level.

Total moment ... 0.000 μB/atom
Space-group type ... No. 139
N(E_F) ... 13.04 states/eV per cell

```
8
Lattice="-3.966 0.001 3.077 -2.146 -3.598 -2.765 7.444 -5.166 5.502" Properties=species:S:1:pos:R:3 pbc="T T T"
Ho 1.355 -5.298 5.842
Ho -3.056 -1.799 0.156
Ho -0.023 -3.465 -0.029
Ho -0.933 -1.666 2.892
Ho 2.265 -7.098 2.921
Sc 0.000 0.000 0.000
Pr 2.195 -3.484 2.830
Pr -0.863 -5.280 2.983
```

***

## two
Below is a geometry-optimized Pr2Ho5Sc structure, with properties calculated at the GGA-PBE level.

Total moment ... 0.000 μB/atom
Space-group type ... No. 55
N(E_F) ... 24.31 states/eV per cell

```
16
Lattice="-4.257 2.441 0.935 -3.706 -5.571 -2.327 -0.187 -5.355 13.121" Properties=species:S:1:pos:R:3 pbc="T T T"
Pr -4.995 -4.999 3.653
Pr -3.155 -3.486 8.077
Pr -5.056 -7.627 10.234
Pr -3.094 -0.858 1.496
Ho -1.914 -4.135 2.083
Ho -1.980 -6.791 8.712
Ho -5.017 -6.288 6.915
Ho -1.947 -5.463 5.397
Ho -3.133 -2.197 4.815
Ho -3.832 -9.556 7.498
Ho 0.000 0.000 0.000
Ho -3.212 -4.852 11.385
Ho -0.061 -1.370 3.297
Ho -4.938 -3.633 0.345
Sc -1.853 -2.786 -1.163
Sc -0.094 -2.678 6.561
```

***

Which one sits at the bottom of the stability order? one does.

***

## one
Below is a geometry-optimized PrHoThSc structure, with properties calculated at the GGA-PBE level.

Total moment ... 0.000 μB/atom
Space-group type ... No. 160
N(E_F) ... 6.25 states/eV per cell

```
4
Lattice="-1.794 1.295 -2.774 -1.668 -0.575 3.080 4.231 9.840 4.127" Properties=species:S:1:pos:R:3 pbc="T T T"
Ho 1.573 6.714 1.687
Pr -0.844 4.565 -0.022
Th 2.229 8.688 4.455
Sc -1.380 0.680 3.052
```

***

## two
Below is a geometry-optimized PrHoThSc structure, with properties calculated at the GGA-PBE level.

Total moment ... 0.000 μB/atom
Space-group type ... No. 216
N(E_F) ... 6.71 states/eV per cell

```
4
Lattice="5.589 0.000 0.000 2.795 4.840 0.000 2.795 1.613 4.564" Properties=species:S:1:pos:R:3 pbc="T T T"
Pr 8.384 4.840 3.423
Ho 0.000 0.000 0.000
Th 2.795 1.613 1.141
Sc 5.589 3.227 2.282
```

***

Which one sits at the bottom of the stability order? two does.

***

## one
Below is a geometry-optimized PrHo3Se4 structure, with properties calculated at the GGA-PBE level.

Total moment ... 0.000 μB/atom
Space-group type ... No. 194
N(E_F) ... 9.25 states/eV per cell

```
16
Lattice="4.069 0.000 0.000 -2.035 3.524 0.000 0.000 0.000 27.429" Properties=species:S:1:pos:R:3 pbc="T T T"
Ho 2.035 1.175 3.305
Ho 0.000 2.349 24.125
Ho 0.000 0.000 0.000
Ho 2.035 1.175 10.410
Ho 0.000 2.349 17.020
Ho 0.000 0.000 13.715
Se 0.000 0.000 18.655
Se 2.035 1.175 25.770
Se 0.000 0.000 8.774
Se 0.000 2.349 1.659
Se 2.035 1.175 15.374
Se 0.000 2.349 12.056
Se 0.000 0.000 22.489
Se 0.000 0.000 4.941
Pr 0.000 2.349 6.857
Pr 2.035 1.175 20.572
```

***

## two
Below is a geometry-optimized PrHo3Se4 structure, with properties calculated at the GGA-PBE level.

Total moment ... 0.000 μB/atom
Space-group type ... No. 65
N(E_F) ... 4.63 states/eV per cell

```
8
Lattice="-3.744 0.915 -1.226 -0.644 -6.517 -2.894 -2.287 -0.271 6.779" Properties=species:S:1:pos:R:3 pbc="T T T"
Se -0.769 -1.782 1.020
Se -3.738 -1.414 3.688
Se -2.161 -5.006 2.866
Se -2.937 -4.460 -1.029
Pr -1.872 0.457 -0.613
Ho -3.337 -2.937 1.330
Ho -0.322 -3.259 -1.447
Ho -1.143 -0.135 3.390
```

***

Which one sits at the bottom of the stability order? two does.